An optimized crystal structure of CeTh2Ni, computed with GGA-PBE.

Calculated values
DFT formation energy = -35.4 meV per atom
Space group = R3m
Distance to the lowest polymorph of the same formula = 156 meV per atom

POSCAR file:
```
CeTh2Ni
1.0
-2.379 -0.195 2.792
0.598 -2.346 2.762
4.213 5.739 6.406
Ce Th Ni
1 2 1
direct
0.499 0.499 0.504 Ce
0.066 0.066 0.803 Th
0.268 0.268 0.197 Th
0.668 0.668 0.996 Ni
```